Crystalline AlSbBr2 at its relaxed geometry, computed with PBE.

Output
**M_tot**: 0.000 μB per atom
**Uncorrected energy**: -2.960 eV/atom
**Formation energy from raw total energies**: -0.157 eV per atom

```
data_AlSbBr2
_chemical_formula_sum 'Al3 Sb3 Br6'
_space_group_name_H-M_alt 'R 3 m'
_space_group_IT_number 160
_space_group_name_Hall 'R 3 -2"'
_cell_length_a 3.6628
_cell_length_b 3.6628
_cell_length_c 27.9961
_cell_angle_alpha 90.00
_cell_angle_beta 90.00
_cell_angle_gamma 120.00
loop_
_atom_site_label
_atom_site_type_symbol
_atom_site_fract_x
_atom_site_fract_y
_atom_site_fract_z
_atom_site_occupancy
Al1 Al 0.0000 0.0000 0.0000 1
Sb1 Sb 0.0000 0.0000 0.2586 1
Br1 Br 0.0000 0.0000 0.5115 1
Br2 Br 0.0000 0.0000 0.7275 1
```